Entry 1:
First-principles (GGA-PBE) data for crystalline Mg5CdCl12 at its relaxed geometry, as listed in Alexandria via LeMat-Bulk.

Output
VASP energy, eV per formula unit: -62.10
Crystal system: monoclinic
DOS(E_F), states/eV/f.u.: 0.00
ΔE_f (raw), eV/atom: -1.725

Unit cell a=6.4259 b=6.4295 c=12.9392 alpha=89.84 beta=89.69 gamma=60.02
Closest atoms and distances in Å follow each position.
Atoms (fractional coordinates):
Mg 0.5000 0.0000 0.5000  6 Cl 2.54
Mg 0.1664 0.6671 0.5000  6 Cl 2.54
Mg 0.8336 0.3329 0.5000  6 Cl 2.54
Mg 0.6666 0.6669 0.0000  6 Cl 2.53
Mg 0.3334 0.3331 0.0000  6 Cl 2.53
Cd 0.0000 0.0000 0.0000  6 Cl 2.65
Cl 0.8344 0.0000 0.3951  3 Mg 2.54
Cl 0.1656 0.0000 0.6049  3 Mg 2.54
Cl 0.6520 0.0000 0.8908  2 Mg 2.53, 1 Cd 2.65
Cl 0.3480 0.0000 0.1092  2 Mg 2.53, 1 Cd 2.65
Cl 0.3502 0.6508 0.8908  2 Mg 2.53, 1 Cd 2.65
Cl 0.9990 0.6508 0.1092  2 Mg 2.53, 1 Cd 2.65
Cl 0.0010 0.3492 0.8908  2 Mg 2.53, 1 Cd 2.65
Cl 0.6498 0.3492 0.1092  2 Mg 2.53, 1 Cd 2.65
Cl 0.4986 0.3335 0.6048  3 Mg 2.54
Cl 0.8322 0.6665 0.6048  3 Mg 2.54
Cl 0.1678 0.3335 0.3952  3 Mg 2.54
Cl 0.5014 0.6665 0.3952  3 Mg 2.54

Entry 2:
First-principles (GGA-PBE) data for crystalline Cd2PbBr6 at its relaxed geometry, as listed in Alexandria via LeMat-Bulk.

Output
VASP energy, eV per formula unit: -23.39
Crystal system: monoclinic
DOS(E_F), states/eV/f.u.: 0.00
ΔE_f (raw), eV/atom: -0.868
Excess energy over the best structure of this formula in the dataset, meV per atom: 0

Unit cell a=4.1765 b=8.4961 c=9.2968 alpha=102.12 beta=102.98 gamma=90.00
Closest atoms and distances in Å follow each position.
Atoms (fractional coordinates):
Cd 0.8293 0.6597 0.6585  6 Br 2.80-2.85
Cd 0.1707 0.3403 0.3415  6 Br 2.80-2.85
Pb 0.5000 0.0000 0.0000  6 Br 3.05-3.07
Br 0.3273 0.8865 0.6547  2 Cd 2.85, 1 Pb 3.07
Br 0.0110 0.2655 0.0220  1 Cd 2.83, 2 Pb 3.05
Br 0.6712 0.5690 0.3424  3 Cd 2.80-2.85
Br 0.9890 0.7345 0.9780  1 Cd 2.83, 2 Pb 3.05
Br 0.6727 0.1135 0.3453  2 Cd 2.85, 1 Pb 3.07
Br 0.3288 0.4310 0.6576  3 Cd 2.80-2.85

Entry 3:
First-principles (GGA-PBE) data for crystalline ScTe3As at its relaxed geometry, as listed in Alexandria via LeMat-Bulk.

Output
VASP energy, eV per formula unit: -19.50
Crystal system: cubic
DOS(E_F), states/eV/f.u.: 5.52
ΔE_f (raw), eV/atom: 0.182

Unit cell a=5.4655 b=5.4655 c=5.4655 alpha=90.00 beta=90.00 gamma=90.00
Closest atoms and distances in Å follow each position.
Atoms (fractional coordinates):
Sc 0.0000 0.0000 0.0000  6 Te 2.73
As 0.5000 0.5000 0.5000  12 Te 3.86
Te 0.0000 0.5000 0.0000  2 Sc 2.73
Te 0.0000 0.0000 0.5000  2 Sc 2.73
Te 0.5000 0.0000 0.0000  2 Sc 2.73

Entry 4:
First-principles (GGA-PBE) data for crystalline RbTlN3 at its relaxed geometry, as listed in Alexandria via LeMat-Bulk.

Output
VASP energy, eV per formula unit: -18.81
Crystal system: cubic
DOS(E_F), states/eV/f.u.: 2.67
ΔE_f (raw), eV/atom: 1.901

Unit cell a=4.6044 b=4.6044 c=4.6044 alpha=90.00 beta=90.00 gamma=90.00
Closest atoms and distances in Å follow each position.
Atoms (fractional coordinates):
Tl 0.0000 0.0000 0.0000  6 N 2.30
Rb 0.5000 0.5000 0.5000  12 N 3.26
N 0.0000 0.5000 0.0000  2 Tl 2.30
N 0.0000 0.0000 0.5000  2 Tl 2.30
N 0.5000 0.0000 0.0000  2 Tl 2.30

Entry 5:
First-principles (GGA-PBE) data for crystalline Nd2Ho9Tm3 at its relaxed geometry, as listed in Alexandria via LeMat-Bulk.

Output
VASP energy, eV per formula unit: -62.42
Crystal system: triclinic
Formation enthalpy at 0 K, kJ/mol of formula units: 167
DOS(E_F), states/eV/f.u.: 20.81

Unit cell a=6.1172 b=10.0651 c=12.2842 alpha=48.43 beta=54.62 gamma=66.35
Closest atoms and distances in Å follow each position.
Atoms (fractional coordinates):
Nd 0.3817 0.3025 0.6972  6 Ho 3.49-3.60, 3 Tm 3.52-3.56, 1 Nd 3.52
Nd 0.5820 0.6995 0.3002  6 Ho 3.47-3.55, 4 Tm 3.47-3.56, 1 Nd 3.52
Ho 0.9893 0.5138 0.4862  3 Tm 3.44-3.54, 4 Nd 3.47-3.60, 4 Ho 3.48-3.55
Ho 0.4048 0.9056 0.7601  3 Tm 3.45-3.56, 7 Ho 3.45-3.57, 1 Nd 3.49
Ho 0.5653 0.1106 0.2220  7 Ho 3.45-3.57, 3 Tm 3.48-3.58, 1 Nd 3.54
Ho 0.8095 0.7089 0.9558  7 Ho 3.42-3.59, 3 Tm 3.44-3.57, 1 Nd 3.55
Ho 0.1637 0.3098 0.0264  7 Ho 3.45-3.55, 3 Tm 3.46-3.55, 1 Nd 3.49
Ho 0.9568 0.9092 0.4267  4 Tm 3.45-3.55, 7 Ho 3.46-3.57, 1 Nd 3.53
Ho 0.0134 0.1054 0.5569  3 Tm 3.44-3.53, 7 Ho 3.46-3.57, 1 Nd 3.54
Ho 0.7609 0.5122 0.8268  8 Ho 3.42-3.55, 2 Tm 3.51-3.56, 1 Nd 3.53
Ho 0.2169 0.5043 0.1581  8 Ho 3.43-3.59, 3 Tm 3.50-3.55, 1 Nd 3.55
Tm 0.1858 0.9020 0.0985  7 Ho 3.44-3.54, 3 Nd 3.53-3.56
Tm 0.6125 0.3058 0.3581  10 Ho 3.45-3.57, 2 Nd 3.47-3.52
Tm 0.3573 0.7105 0.6271  10 Ho 3.44-3.58, 2 Nd 3.48-3.55

Entry 6:
First-principles (GGA-PBE) data for crystalline Tb12DyEr7 at its relaxed geometry, as listed in Alexandria via LeMat-Bulk.

Output
VASP energy, eV per formula unit: -86.15
Crystal system: trigonal
Formation enthalpy at 0 K, kJ/mol of formula units: 575
DOS(E_F), states/eV/f.u.: 18.54
Excess energy over the best structure of this formula in the dataset, meV per atom: 0

Unit cell a=8.6485 b=8.6485 c=8.6485 alpha=94.91 beta=94.91 gamma=94.91
Closest atoms and distances in Å follow each position.
Atoms (fractional coordinates):
Tb 0.8142 0.2498 0.6857  3 Er 3.32-3.55, 3 Tb 3.34-3.58
Tb 0.7502 0.3143 0.1858  3 Er 3.32-3.55, 3 Tb 3.34-3.58
Tb 0.4773 0.1469 0.4147  2 Er 3.06-3.07, 2 Tb 3.08-3.34
Tb 0.8531 0.5853 0.5227  2 Er 3.06-3.07, 2 Tb 3.08-3.34
Tb 0.3143 0.1858 0.7502  3 Er 3.32-3.55, 3 Tb 3.34-3.58
Tb 0.5853 0.5227 0.8531  2 Er 3.06-3.07, 2 Tb 3.08-3.34
Tb 0.4147 0.4773 0.1469  2 Er 3.06-3.07, 2 Tb 3.08-3.34
Tb 0.6857 0.8142 0.2498  3 Er 3.32-3.55, 3 Tb 3.34-3.58
Tb 0.1469 0.4147 0.4773  2 Er 3.06-3.07, 2 Tb 3.08-3.34
Tb 0.5227 0.8531 0.5853  2 Er 3.06-3.07, 2 Tb 3.08-3.34
Tb 0.2498 0.6857 0.8142  3 Er 3.32-3.55, 3 Tb 3.34-3.58
Tb 0.1858 0.7502 0.3143  3 Er 3.32-3.55, 3 Tb 3.34-3.58
Dy 0.0000 0.0000 0.0000  6 Er 3.05
Er 0.9172 0.6490 0.9797  1 Dy 3.05, 2 Tb 3.06-3.32, 1 Er 3.09
Er 0.3510 0.0203 0.0828  1 Dy 3.05, 2 Tb 3.06-3.32, 1 Er 3.09
Er 0.0203 0.0828 0.3510  1 Dy 3.05, 2 Tb 3.06-3.32, 1 Er 3.09
Er 0.5000 0.5000 0.5000  6 Tb 3.07
Er 0.9797 0.9172 0.6490  1 Dy 3.05, 2 Tb 3.06-3.32, 1 Er 3.09
Er 0.6490 0.9797 0.9172  1 Dy 3.05, 2 Tb 3.06-3.32, 1 Er 3.09
Er 0.0828 0.3510 0.0203  1 Dy 3.05, 2 Tb 3.06-3.32, 1 Er 3.09

Entry 7:
First-principles (GGA-PBE) data for crystalline TlCuOs2 at its relaxed geometry, as listed in Alexandria via LeMat-Bulk.

Output
VASP energy, eV per formula unit: -25.94
Crystal system: monoclinic
Formation enthalpy at 0 K, kJ/mol of formula units: 288
DOS(E_F), states/eV/f.u.: 4.02
Excess energy over the best structure of this formula in the dataset, meV per atom: 242

Unit cell a=4.7335 b=4.7335 c=5.0563 alpha=80.01 beta=80.01 gamma=35.09
Closest atoms and distances in Å follow each position.
Atoms (fractional coordinates):
Cu 0.2500 0.2500 0.2500  6 Os 2.66-2.74, 2 Cu 2.85, 4 Tl 2.90
Os 0.9911 0.9911 0.0391  4 Os 2.60-2.85, 3 Cu 2.66-2.74, 3 Tl 2.83-2.90
Os 0.5089 0.5089 0.4609  4 Os 2.60-2.85, 3 Cu 2.66-2.74, 3 Tl 2.83-2.90
Tl 0.7500 0.7500 0.7500  6 Os 2.83-2.90, 2 Tl 2.85, 4 Cu 2.90

Entry 8:
First-principles (GGA-PBE) data for crystalline ScAl2Ni2 at its relaxed geometry, as listed in Alexandria via LeMat-Bulk.

Output
VASP energy, eV per formula unit: -27.95
Crystal system: tetragonal
Formation enthalpy at 0 K, kJ/mol of formula units: -248
DOS(E_F), states/eV/f.u.: 3.70
Excess energy over the best structure of this formula in the dataset, meV per atom: 22

Unit cell a=3.8545 b=3.8545 c=5.8476 alpha=70.76 beta=70.76 gamma=90.00
Closest atoms and distances in Å follow each position.
Atoms (fractional coordinates):
Sc 0.0000 0.0000 0.0000  8 Ni 2.95, 8 Al 3.23
Ni 0.3898 0.3898 0.2203  1 Ni 2.28, 4 Al 2.41
Ni 0.6102 0.6102 0.7797  1 Ni 2.28, 4 Al 2.41
Al 0.7500 0.2500 0.5000  4 Ni 2.41
Al 0.2500 0.7500 0.5000  4 Ni 2.41

Entry 9:
First-principles (GGA-PBE) data for crystalline Nd6TlHg6 at its relaxed geometry, as listed in Alexandria via LeMat-Bulk.

Output
VASP energy, eV per formula unit: -36.65
Crystal system: hexagonal
Formation enthalpy at 0 K, kJ/mol of formula units: -373
DOS(E_F), states/eV/f.u.: 15.04

Unit cell a=6.3916 b=6.3916 c=10.8311 alpha=90.00 beta=90.00 gamma=120.01
Closest atoms and distances in Å follow each position.
Atoms (fractional coordinates):
Nd 0.0000 0.0000 0.6829  6 Hg 3.28, 1 Tl 3.43
Nd 0.0000 0.0000 0.3171  6 Hg 3.28, 1 Tl 3.43
Nd 0.3334 0.6666 0.0000  6 Hg 3.26
Nd 0.6666 0.3334 0.0000  6 Hg 3.26
Nd 0.3333 0.6667 0.5000  6 Hg 3.29
Nd 0.6667 0.3333 0.5000  6 Hg 3.29
Tl 0.0000 0.0000 0.0000  8 Nd 3.43-3.69
Hg 0.0000 0.5000 0.7519  4 Hg 3.20, 6 Nd 3.26-3.29
Hg 0.5000 0.0000 0.7519  4 Hg 3.20, 6 Nd 3.26-3.29
Hg 0.5000 0.5000 0.7519  4 Hg 3.20, 6 Nd 3.26-3.29
Hg 0.5000 0.0000 0.2481  4 Hg 3.20, 6 Nd 3.26-3.29
Hg 0.0000 0.5000 0.2481  4 Hg 3.20, 6 Nd 3.26-3.29
Hg 0.5000 0.5000 0.2481  4 Hg 3.20, 6 Nd 3.26-3.29

Entry 10:
First-principles (GGA-PBE) data for crystalline AcPrRu at its relaxed geometry, as listed in Alexandria via LeMat-Bulk.

Output
VASP energy, eV per formula unit: -18.34
Crystal system: triclinic
Formation enthalpy at 0 K, kJ/mol of formula units: -17
DOS(E_F), states/eV/f.u.: 2.56
Excess energy over the best structure of this formula in the dataset, meV per atom: 73

Unit cell a=3.6397 b=7.2155 c=7.5394 alpha=104.35 beta=103.93 gamma=89.99
Closest atoms and distances in Å follow each position.
Atoms (fractional coordinates):
Ac 0.3131 0.4851 0.3918  4 Ru 3.16
Ac 0.5648 0.6188 0.8971  4 Ru 3.16
Pr 0.5583 0.1116 0.8849  4 Ru 3.04-3.05
Pr 0.3195 0.9923 0.4039  4 Ru 3.04-3.05
Ru 0.9399 0.2944 0.6462  4 Pr 3.04-3.05, 4 Ac 3.16
Ru 0.9378 0.8095 0.6426  4 Pr 3.04-3.05, 4 Ac 3.16

Entry 11:
First-principles (GGA-PBE) data for crystalline K3PPt at its relaxed geometry, as listed in Alexandria via LeMat-Bulk.

Output
VASP energy, eV per formula unit: -16.11
Crystal system: monoclinic
Formation enthalpy at 0 K, kJ/mol of formula units: -132
DOS(E_F), states/eV/f.u.: 0.66
Excess energy over the best structure of this formula in the dataset, meV per atom: 0

Unit cell a=8.1642 b=7.4076 c=11.0291 alpha=100.78 beta=90.00 gamma=90.00
Closest atoms and distances in Å follow each position.
Atoms (fractional coordinates):
K 0.0101 0.2228 0.2971  2 P 3.25-3.52, 2 Pt 3.26-3.32, 2 K 3.44-3.60
K 0.9899 0.7772 0.7029  2 P 3.25-3.52, 2 Pt 3.26-3.32, 2 K 3.44-3.60
K 0.5101 0.7772 0.2029  2 P 3.25-3.52, 2 Pt 3.26-3.32, 2 K 3.44-3.60
K 0.4899 0.2228 0.7971  2 P 3.25-3.52, 2 Pt 3.26-3.32, 2 K 3.44-3.60
K 0.4594 0.2356 0.3761  2 P 3.31-3.51, 2 Pt 3.59-3.64, 1 K 3.60
K 0.5406 0.7644 0.6239  2 P 3.31-3.51, 2 Pt 3.59-3.64, 1 K 3.60
K 0.9594 0.7644 0.1239  2 P 3.31-3.51, 2 Pt 3.59-3.64, 1 K 3.60
K 0.0406 0.2356 0.8761  2 P 3.31-3.51, 2 Pt 3.59-3.64, 1 K 3.60
K 0.8121 0.3555 0.5983  2 Pt 3.23-3.43, 3 P 3.38-3.44, 1 K 3.44
K 0.1879 0.6445 0.4017  2 Pt 3.23-3.43, 3 P 3.38-3.44, 1 K 3.44
K 0.3121 0.6445 0.9017  2 Pt 3.23-3.43, 3 P 3.38-3.44, 1 K 3.44
K 0.6879 0.3555 0.0983  2 Pt 3.23-3.43, 3 P 3.38-3.44, 1 K 3.44
P 0.2752 0.3741 0.1207  1 Pt 2.25
P 0.7248 0.6259 0.8793  1 Pt 2.25
P 0.7752 0.6259 0.3793  1 Pt 2.25
P 0.2248 0.3741 0.6207  1 Pt 2.25
Pt 0.8714 0.9101 0.4509  1 P 2.25
Pt 0.1286 0.0899 0.5491  1 P 2.25
Pt 0.3714 0.0899 0.0491  1 P 2.25
Pt 0.6286 0.9101 0.9509  1 P 2.25

Entry 12:
First-principles (GGA-PBE) data for crystalline ZrNiBr2 at its relaxed geometry, as listed in Alexandria via LeMat-Bulk.

Output
VASP energy, eV per formula unit: -19.75
Crystal system: monoclinic
DOS(E_F), states/eV/f.u.: 2.19
ΔE_f (raw), eV/atom: -0.519
Excess energy over the best structure of this formula in the dataset, meV per atom: 184

Unit cell a=7.7610 b=7.7610 c=4.1580 alpha=90.22 beta=90.22 gamma=25.65
Closest atoms and distances in Å follow each position.
Atoms (fractional coordinates):
Br 0.8846 0.8846 0.0445  1 Ni 2.37
Br 0.6154 0.6154 0.4555  1 Ni 2.37
Ni 0.7500 0.7500 0.7500  2 Br 2.37
Zr 0.2500 0.2500 0.2500  4 Ni 2.70, 4 Br 2.80